# Sm2Tm3Th3

Sm2Tm3Th3 after structural relaxation (PBE-GGA, the Alexandria database).

abc: 9.042 9.042 3.628
angles: 90.00 90.00 120.00
Sites, in units of the cell vectors:
1 Sm 0.333 0.667 0.000
2 Sm 0.667 0.333 0.000
3 Tm 0.000 0.395 0.500
4 Tm 0.395 0.000 0.500
5 Tm 0.605 0.605 0.500
6 Th 0.000 0.773 0.000
7 Th 0.227 0.227 0.000
8 Th 0.773 0.000 0.000

Computed properties:
N(E_F) = 1.35 states/eV/atom
Calculated formation energy = 14 kJ/mol of atoms